A PBEsol-optimized structure of BeFeAu2. Source: Alexandria via LeMat-Bulk, functional meta-GGA SCAN.

Total DFT energy (no corrections)   -40.11 eV/atom

a b c (Å): 4.299 4.299 4.299
angles (deg): 60.00 60.00 60.00
Positions (direct):
Au: 0.000 0.000 0.000
Au: 0.750 0.750 0.750
Be: 0.500 0.500 0.500
Fe: 0.250 0.250 0.250